Entry 1:
# PrSc2Zn PBE optimized geometry
# Formation energy (meV per atom): -15
# Offset from the most stable computed form (eV per atom): 0.133
data_PrSc2Zn
_chemical_formula_sum 'Pr3 Sc6 Zn3'
_space_group_name_H-M_alt 'P 1'
_space_group_IT_number 1
_space_group_name_Hall 'P 1'
_cell_length_a 3.431
_cell_length_b 3.431
_cell_length_c 29.804
_cell_angle_alpha 90.00
_cell_angle_beta 90.00
_cell_angle_gamma 120.00
loop_
_atom_site_label
_atom_site_fract_x
_atom_site_fract_y
_atom_site_fract_z
Pr1 0.000 0.000 0.000
Pr2 0.333 0.667 0.667
Pr3 0.667 0.333 0.333
Sc1 0.000 0.000 0.237
Sc2 0.000 0.000 0.432
Sc3 0.333 0.667 0.099
Sc4 0.333 0.667 0.903
Sc5 0.667 0.333 0.570
Sc6 0.667 0.333 0.765
Zn1 0.000 0.000 0.835
Zn2 0.333 0.667 0.501
Zn3 0.667 0.333 0.168

***

Entry 2:
# Ho3NpAg3Se8 PBE optimized geometry
# Uncorrected formation energy (eV per atom): -1.136
data_Ho3NpAg3Se8
_chemical_formula_sum 'Ho3 Np1 Ag3 Se8'
_space_group_name_H-M_alt 'P 1'
_space_group_IT_number 1
_space_group_name_Hall 'P 1'
_cell_length_a 8.029
_cell_length_b 8.029
_cell_length_c 8.048
_cell_angle_alpha 117.73
_cell_angle_beta 117.73
_cell_angle_gamma 62.37
loop_
_atom_site_label
_atom_site_fract_x
_atom_site_fract_y
_atom_site_fract_z
Ho1 0.000 0.000 0.000
Ho2 0.000 0.500 0.500
Ho3 0.500 0.000 0.500
Np1 0.500 0.500 0.000
Ag1 0.000 0.500 0.000
Ag2 0.500 0.000 0.000
Ag3 0.500 0.500 0.500
Se1 0.248 0.747 0.754
Se2 0.249 0.249 0.252
Se3 0.253 0.253 0.747
Se4 0.253 0.752 0.246
Se5 0.747 0.248 0.754
Se6 0.747 0.747 0.253
Se7 0.751 0.751 0.748
Se8 0.752 0.253 0.246

***

Entry 3:
# MgZrMo PBE optimized geometry
# Formation energy (meV per atom): 261
# Offset from the most stable computed form (eV per atom): 0.275
data_MgZrMo
_chemical_formula_sum 'Mg2 Zr2 Mo2'
_space_group_name_H-M_alt 'P 1'
_space_group_IT_number 1
_space_group_name_Hall 'P 1'
_cell_length_a 2.760
_cell_length_b 4.589
_cell_length_c 9.077
_cell_angle_alpha 90.00
_cell_angle_beta 90.00
_cell_angle_gamma 90.00
loop_
_atom_site_label
_atom_site_fract_x
_atom_site_fract_y
_atom_site_fract_z
Mg1 0.000 0.000 0.000
Mg2 0.500 0.500 0.500
Zr1 0.000 0.000 0.326
Zr2 0.500 0.500 0.826
Mo1 0.000 0.000 0.661
Mo2 0.500 0.500 0.161

***

D(E_F) for the records above, in order: 1.20, 0.32, 1.16 states/eV/atom
E for the records above, in order: -4.69, -5.34, -6.73 eV per atom